First-principles (PBE with a Hubbard U) data for an optimized crystal structure of LiMnPt2O, as listed in Alexandria via LeMat-Bulk.

- uncorrected energy (eV/cell) = -25.52

Geometry as POSCAR:
```
LiMnPt2O
1.0
4.9696 0.0000 0.0000
0.0000 3.5468 0.0000
0.0000 0.0000 4.9696
Mn O Pt Li
1 1 2 1
Direct
0.0000 0.0000 0.0000
0.0000 0.5000 0.0000
0.0000 0.0000 0.5000
0.5000 0.0000 0.0000
0.5000 0.5000 0.5000
```